A geometry-optimized SiGePd structure. Source: the Open Quantum Materials Database, functional GGA-PBE.

Computed properties:
* total DFT energy (no corrections): -5.125 eV per atom
* volume: 17.3 Å³ per atom

The structure in POSCAR format:
```
SiGePd
1.0
0.000 2.961 2.961
2.961 0.000 2.961
2.961 2.961 0.000
Si Ge Pd
1 1 1
direct
0.000 0.000 0.000
0.750 0.750 0.750
0.250 0.250 0.250
```